{"formula": "LaZnFe2", "functional": "SCAN", "state": "PBEsol geometry", "dos_ef_per_ev_atom": 0.782, "ef_ev_per_atom": 0.1095, "space_group": "P4mm", "mass_density_g_cm3": 8.0, "final_energy_ev_per_atom": -23.11, "lattice_angstrom": [[3.036, 0.000, 0.000], [0.000, 3.036, 0.000], [0.000, 0.000, 7.107]], "species": ["La", "Zn", "Fe", "Fe"], "frac_coords": [[0.000, 0.000, 0.000], [0.500, 0.500, 0.341], [0.000, 0.000, 0.543], [0.500, 0.500, 0.698]]}